AcTbGdLu | PBE-GGA | relaxed

Structure (CIF):
```
data_AcTbGdLu
_symmetry_space_group_name_H-M 'P 1'
_symmetry_Int_Tables_number 1
_cell_length_a 5.8113
_cell_length_b 5.8113
_cell_length_c 5.8113
_cell_angle_alpha 60.00
_cell_angle_beta 60.00
_cell_angle_gamma 60.00
loop_
_symmetry_equiv_pos_as_xyz
'x,y,z'
loop_
_atom_site_label
_atom_site_fract_x
_atom_site_fract_y
_atom_site_fract_z
Gd1 0.5000 0.5000 0.5000
Ac1 0.2500 0.2500 0.2500
Lu1 0.7500 0.7500 0.7500
Tb1 0.0000 0.0000 0.0000
```

Summary:
SG: F-43m
VASP energy, eV for the cell shown: -26.74
Energy relative to the elements, eV/f.u.: 0.60